# 1
Dy2HoSc2: relaxed, GGA-PBE.

Results
Crystal system   orthorhombic
ΔE to the lowest computed polymorph   0.0458 eV/atom

The structure in CIF format:
```
data_Dy2HoSc2
_space_group_name_H-M_alt 'I m m a'
_space_group_IT_number 74
_space_group_name_Hall '-I 2b 2'
_cell_length_a 5.532
_cell_length_b 6.817
_cell_length_c 15.549
_cell_angle_alpha 90.00
_cell_angle_beta 90.00
_cell_angle_gamma 90.00
loop_
_atom_site_label
_atom_site_type_symbol
_atom_site_fract_x
_atom_site_fract_y
_atom_site_fract_z
_atom_site_occupancy
Dy1 Dy 0.000 0.001 0.188 1
Ho1 Ho 0.000 0.250 0.608 1
Sc1 Sc 0.000 0.250 0.004 1
Sc2 Sc 0.000 0.250 0.381 1
```



# 2
ZrTl2Mo: relaxed, GGA-PBE.

Results
Crystal system   monoclinic
ΔE to the lowest computed polymorph   0.1024 eV/atom

The structure in CIF format:
```
data_ZrTl2Mo
_space_group_name_H-M_alt 'P 1 m 1'
_space_group_IT_number 6
_space_group_name_Hall 'P -2y'
_cell_length_a 3.190
_cell_length_b 4.671
_cell_length_c 5.959
_cell_angle_alpha 90.00
_cell_angle_beta 102.86
_cell_angle_gamma 90.00
loop_
_atom_site_label
_atom_site_type_symbol
_atom_site_fract_x
_atom_site_fract_y
_atom_site_fract_z
_atom_site_occupancy
Zr1 Zr 0.000 0.000 0.000 1
Tl1 Tl 0.364 0.500 0.770 1
Tl2 Tl 0.524 0.000 0.468 1
Mo1 Mo 0.840 0.500 0.252 1
```



# 3
SrLiNi2: relaxed, GGA-PBE.

Results
Crystal system   cubic
ΔE to the lowest computed polymorph   0.2832 eV/atom

The structure in CIF format:
```
data_SrLiNi2
_space_group_name_H-M_alt 'F -4 3 m'
_space_group_IT_number 216
_space_group_name_Hall 'F -4 2 3'
_cell_length_a 6.527
_cell_length_b 6.527
_cell_length_c 6.527
_cell_angle_alpha 90.00
_cell_angle_beta 90.00
_cell_angle_gamma 90.00
loop_
_atom_site_label
_atom_site_type_symbol
_atom_site_fract_x
_atom_site_fract_y
_atom_site_fract_z
_atom_site_occupancy
Sr1 Sr 0.000 0.000 0.000 1
Li1 Li 0.250 0.250 0.250 1
Ni1 Ni 0.000 0.000 0.500 1
Ni2 Ni 0.250 0.250 0.750 1
```



# 4
LaYMg2: relaxed, GGA-PBE.

Results
Crystal system   tetragonal
Total DFT energy (no corrections)   -3.68 eV/atom

The structure in CIF format:
```
data_LaYMg2
_space_group_name_H-M_alt 'P 4 m m'
_space_group_IT_number 99
_space_group_name_Hall 'P 4 -2'
_cell_length_a 3.527
_cell_length_b 3.527
_cell_length_c 9.434
_cell_angle_alpha 90.00
_cell_angle_beta 90.00
_cell_angle_gamma 90.00
loop_
_atom_site_label
_atom_site_type_symbol
_atom_site_fract_x
_atom_site_fract_y
_atom_site_fract_z
_atom_site_occupancy
La1 La 0.000 0.000 0.000 1
Y1 Y 0.500 0.500 0.708 1
Mg1 Mg 0.000 0.000 0.468 1
Mg2 Mg 0.500 0.500 0.268 1
```



# 5
PmPrSc2As4: relaxed, GGA-PBE.

Results
Crystal system   monoclinic
Total DFT energy (no corrections)   -6.51 eV/atom

The structure in CIF format:
```
data_PmPrSc2As4
_space_group_name_H-M_alt 'P 1 2/m 1'
_space_group_IT_number 10
_space_group_name_Hall '-P 2y'
_cell_length_a 7.040
_cell_length_b 4.093
_cell_length_c 7.084
_cell_angle_alpha 90.00
_cell_angle_beta 109.60
_cell_angle_gamma 90.00
loop_
_atom_site_label
_atom_site_type_symbol
_atom_site_fract_x
_atom_site_fract_y
_atom_site_fract_z
_atom_site_occupancy
Pm1 Pm 0.000 0.000 0.000 1
Pr1 Pr 0.000 0.500 0.500 1
Sc1 Sc 0.500 0.000 0.500 1
Sc2 Sc 0.500 0.500 0.000 1
As1 As 0.274 0.500 0.256 1
As2 As 0.275 0.000 0.760 1
```



# 6
AlCdRh: relaxed, GGA-PBE.

Results
Crystal system   cubic
ΔE to the lowest computed polymorph   0.2195 eV/atom

The structure in CIF format:
```
data_AlCdRh
_space_group_name_H-M_alt 'F -4 3 m'
_space_group_IT_number 216
_space_group_name_Hall 'F -4 2 3'
_cell_length_a 6.132
_cell_length_b 6.132
_cell_length_c 6.132
_cell_angle_alpha 90.00
_cell_angle_beta 90.00
_cell_angle_gamma 90.00
loop_
_atom_site_label
_atom_site_type_symbol
_atom_site_fract_x
_atom_site_fract_y
_atom_site_fract_z
_atom_site_occupancy
Al1 Al 0.000 0.000 0.000 1
Cd1 Cd 0.000 0.000 0.500 1
Rh1 Rh 0.250 0.250 0.250 1
```



# 7
Co2Ge2Bi: relaxed, GGA-PBE.

Results
Crystal system   tetragonal
ΔE to the lowest computed polymorph   0.0000 eV/atom

The structure in CIF format:
```
data_Co2Ge2Bi
_space_group_name_H-M_alt 'I 4/m m m'
_space_group_IT_number 139
_space_group_name_Hall '-I 4 2'
_cell_length_a 3.752
_cell_length_b 3.752
_cell_length_c 11.672
_cell_angle_alpha 90.00
_cell_angle_beta 90.00
_cell_angle_gamma 90.00
loop_
_atom_site_label
_atom_site_type_symbol
_atom_site_fract_x
_atom_site_fract_y
_atom_site_fract_z
_atom_site_occupancy
Co1 Co 0.000 0.000 0.121 1
Ge1 Ge 0.000 0.500 0.250 1
Bi1 Bi 0.000 0.000 0.500 1
```



# 8
Pm4Nd10Er: relaxed, GGA-PBE.

Results
Crystal system   tetragonal
Total DFT energy (no corrections)   -4.44 eV/atom

The structure in CIF format:
```
data_Pm4Nd10Er
_space_group_name_H-M_alt 'I 4/m'
_space_group_IT_number 87
_space_group_name_Hall '-I 4'
_cell_length_a 9.995
_cell_length_b 9.995
_cell_length_c 10.610
_cell_angle_alpha 90.00
_cell_angle_beta 90.00
_cell_angle_gamma 90.00
loop_
_atom_site_label
_atom_site_type_symbol
_atom_site_fract_x
_atom_site_fract_y
_atom_site_fract_z
_atom_site_occupancy
Pm1 Pm 0.058 0.672 0.000 1
Nd1 Nd 0.000 0.500 0.250 1
Nd2 Nd 0.115 0.792 0.339 1
Er1 Er 0.000 0.000 0.000 1
```